Compound: Er2TiPt
Source: the Alexandria database
Functional: PBE
Structure: relaxed

```
Er2TiPt
1.0
3.489 0.000 0.000
0.000 3.489 0.000
0.000 0.000 7.274
Er Ti Pt
2 1 1
direct
0.000 0.000 0.229
0.000 0.000 0.771
0.500 0.500 0.500
0.500 0.500 0.000
```

Summary:
For the energy of formation, the calculation gives -0.50 eV/atom. As for the total moment: 0.00 Bohr magnetons per cell.

Compound: BaIn2Hg2Bi2
Source: the Alexandria database
Functional: PBE
Structure: relaxed

```
BaIn2Hg2Bi2
1.0
2.730 1.576 9.132
-2.730 1.576 9.132
0.000 -3.152 9.132
Ba In Hg Bi
1 2 2 2
direct
0.000 0.000 0.000
0.130 0.130 0.130
0.870 0.870 0.870
0.393 0.393 0.393
0.607 0.607 0.607
0.242 0.242 0.242
0.758 0.758 0.758
```

Summary:
For the energy of formation, the calculation gives -0.26 eV/atom. As for the total moment: 0.00 Bohr magnetons per cell.

Compound: SrC2F
Source: the Alexandria database
Functional: PBE
Structure: relaxed

```
SrC2F
1.0
3.136 0.000 0.000
0.000 3.136 0.000
0.000 0.000 21.325
Sr C F
4 8 4
direct
0.000 0.250 0.375
0.000 0.750 0.625
0.500 0.250 0.125
0.500 0.750 0.875
0.000 0.000 0.000
0.000 0.500 0.000
0.250 0.250 0.750
0.250 0.750 0.250
0.500 0.000 0.500
0.500 0.500 0.500
0.750 0.250 0.750
0.750 0.750 0.250
0.000 0.250 0.875
0.000 0.750 0.125
0.500 0.250 0.625
0.500 0.750 0.375
```

Summary:
Its formation energy without anion corrections is -0.0249 eV per atom. As for the total moment: 0.00 Bohr magnetons per cell. As for the energy above the most stable polymorph in this dataset: 0.000 eV/atom.

Compound: CaCuIr2
Source: the Alexandria database
Functional: PBE
Structure: relaxed

```
CaCuIr2
1.0
2.875 0.000 0.000
0.000 2.875 0.000
0.000 0.000 7.826
Ca Cu Ir
1 1 2
direct
0.000 0.000 0.000
0.000 0.000 0.500
0.500 0.500 0.289
0.500 0.500 0.711
```

Summary:
For the energy of formation, the calculation gives 0.17 eV/atom. As for the total moment: 0.00 Bohr magnetons per cell. As for the energy above the most stable polymorph in this dataset: 0.151 eV/atom.

Compound: AcCd2Ni2Au
Source: the Alexandria database
Functional: PBE
Structure: relaxed

```
AcCd2Ni2Au
1.0
5.088 0.000 0.000
0.000 5.088 0.000
0.000 0.000 10.646
Ac Cd Ni Au
2 4 4 2
direct
0.000 0.000 0.000
0.500 0.500 0.500
0.000 0.500 0.250
0.000 0.500 0.750
0.500 0.000 0.250
0.500 0.000 0.750
0.000 0.000 0.263
0.000 0.000 0.737
0.500 0.500 0.237
0.500 0.500 0.763
0.000 0.000 0.500
0.500 0.500 0.000
```

Summary:
For the energy of formation, the calculation gives -0.06 eV/atom. As for the total moment: 0.00 Bohr magnetons per cell.

Compound: GdPu2Mg
Source: the Alexandria database
Functional: PBE
Structure: relaxed

```
GdPu2Mg
1.0
4.600 0.000 0.000
0.000 4.600 0.000
0.000 0.000 5.256
Gd Pu Mg
1 2 1
direct
0.000 0.000 0.000
0.000 0.500 0.500
0.500 0.000 0.500
0.500 0.500 0.000
```

Summary:
For the energy of formation, the calculation gives 0.15 eV/atom. As for the total moment: 20.21 Bohr magnetons per cell. As for the energy above the most stable polymorph in this dataset: 0.000 eV/atom.

Compound: Mg2Cd6Pd
Source: the Alexandria database
Functional: PBE
Structure: relaxed

```
Mg2Cd6Pd
1.0
3.874 -7.689 0.000
3.874 7.689 0.000
-0.760 0.000 3.174
Mg Cd Pd
2 6 1
direct
0.144 0.856 0.000
0.856 0.144 0.000
0.166 0.505 0.675
0.317 0.317 0.168
0.495 0.834 0.325
0.505 0.166 0.675
0.683 0.683 0.832
0.834 0.495 0.325
0.000 0.000 0.500
```

Summary:
For the energy of formation, the calculation gives -0.15 eV/atom. As for the total moment: 0.00 Bohr magnetons per cell. As for the energy above the most stable polymorph in this dataset: 0.018 eV/atom.

Compound: NaTe2Rh2
Source: the Alexandria database
Functional: PBE
Structure: relaxed

```
NaTe2Rh2
1.0
4.088 0.000 0.000
0.000 4.088 0.000
0.000 0.000 14.193
Na Te Rh
2 4 4
direct
0.000 0.000 0.000
0.500 0.500 0.500
0.000 0.000 0.367
0.000 0.000 0.633
0.500 0.500 0.133
0.500 0.500 0.867
0.000 0.500 0.250
0.000 0.500 0.750
0.500 0.000 0.250
0.500 0.000 0.750
```

Summary:
Its formation energy without anion corrections is -0.3737 eV per atom. As for the total moment: 0.00 Bohr magnetons per cell. As for the energy above the most stable polymorph in this dataset: 0.000 eV/atom.

Repeat the fifth record exactly.
Compound: AcCd2Ni2Au
Source: the Alexandria database
Functional: PBE
Structure: relaxed

```
AcCd2Ni2Au
1.0
5.088 0.000 0.000
0.000 5.088 0.000
0.000 0.000 10.646
Ac Cd Ni Au
2 4 4 2
direct
0.000 0.000 0.000
0.500 0.500 0.500
0.000 0.500 0.250
0.000 0.500 0.750
0.500 0.000 0.250
0.500 0.000 0.750
0.000 0.000 0.263
0.000 0.000 0.737
0.500 0.500 0.237
0.500 0.500 0.763
0.000 0.000 0.500
0.500 0.500 0.000
```

Summary:
For the energy of formation, the calculation gives -0.06 eV/atom. As for the total moment: 0.00 Bohr magnetons per cell.

Number 3 is which compound?
SrC2F